{"formula": "SrIn2CuO4", "functional": "PBE-GGA", "state": "relaxed", "lattice_angstrom": [[1.7208, -5.7189, 0.0000], [1.7208, 5.7189, 0.0000], [0.0000, 0.0000, 11.4155]], "species": ["Sr", "Sr", "In", "In", "In", "In", "Cu", "Cu", "O", "O", "O", "O", "O", "O", "O", "O"], "fractional_positions": [[0.1121, 0.8879, 0.7500], [0.8879, 0.1121, 0.2500], [0.3713, 0.6287, 0.5551], [0.3713, 0.6287, 0.9449], [0.6287, 0.3713, 0.0551], [0.6287, 0.3713, 0.4449], [0.1545, 0.8455, 0.2500], [0.8455, 0.1545, 0.7500], [0.0000, 0.0000, 0.0000], [0.0000, 0.0000, 0.5000], [0.2728, 0.7272, 0.1100], [0.2728, 0.7272, 0.3900], [0.4518, 0.5482, 0.7500], [0.5482, 0.4518, 0.2500], [0.7272, 0.2728, 0.6100], [0.7272, 0.2728, 0.8900]], "total_magnetization_mub_per_fu": 0.00, "total_energy_ha_per_atom": -0.1936, "e_form_raw_mev_per_atom": -1382}

{"formula": "Cs3PrU2Se6", "functional": "PBE-GGA", "state": "relaxed", "lattice_angstrom": [[3.7488, -6.4941, 0.0000], [3.7488, 6.4941, 0.0000], [-2.4978, 0.0000, 8.4296]], "species": ["Cs", "Cs", "Cs", "Pr", "U", "U", "Se", "Se", "Se", "Se", "Se", "Se"], "fractional_positions": [[0.0000, 0.0000, 0.0000], [0.3359, 0.6641, 0.0000], [0.6641, 0.3359, 0.0000], [0.5000, 0.5000, 0.5000], [0.1669, 0.8331, 0.5000], [0.8331, 0.1669, 0.5000], [0.0938, 0.4368, 0.3107], [0.2197, 0.2197, 0.6883], [0.4368, 0.0938, 0.3107], [0.5632, 0.9062, 0.6893], [0.7803, 0.7803, 0.3117], [0.9062, 0.5632, 0.6893]], "total_magnetization_mub_per_fu": 6.01, "total_energy_ha_per_atom": -0.2060, "e_form_raw_mev_per_atom": -1369}

{"formula": "NiMo2W", "functional": "PBE-GGA", "state": "relaxed", "lattice_angstrom": [[-2.0314, 2.0314, 3.6035], [2.0314, -2.0314, 3.6035], [2.0314, 2.0314, -3.6035]], "species": ["Ni", "Mo", "Mo", "W"], "fractional_positions": [[0.0000, 0.0000, 0.0000], [0.2500, 0.7500, 0.5000], [0.7500, 0.2500, 0.5000], [0.5000, 0.5000, 0.0000]], "e_above_lowest_polymorph_ev_per_atom": 0.142, "total_magnetization_mub_per_fu": 0.00, "total_energy_ha_per_atom": -0.3641, "formation_enthalpy_0k_ev_per_fu": 0.8}

{"formula": "LaHfC3", "functional": "PBE-GGA", "state": "relaxed", "lattice_angstrom": [[4.2470, 0.0000, 0.0000], [0.0000, 4.2470, 0.0000], [0.0000, 0.0000, 4.2470]], "species": ["La", "Hf", "C", "C", "C"], "fractional_positions": [[0.0000, 0.0000, 0.0000], [0.5000, 0.5000, 0.5000], [0.0000, 0.0000, 0.5000], [0.0000, 0.5000, 0.0000], [0.5000, 0.0000, 0.0000]], "e_above_lowest_polymorph_ev_per_atom": 1.488, "total_magnetization_mub_per_fu": 0.00, "total_energy_ha_per_atom": -0.2314, "formation_enthalpy_0k_ev_per_fu": 11.1}

{"formula": "DyCuSi2Ir", "functional": "PBE-GGA", "state": "relaxed", "lattice_angstrom": [[-2.0210, 2.0210, 4.9890], [2.0210, -2.0210, 4.9890], [2.0210, 2.0210, -4.9890]], "species": ["Dy", "Cu", "Si", "Si", "Ir"], "fractional_positions": [[0.0000, 0.0000, 0.0000], [0.2500, 0.7500, 0.5000], [0.3813, 0.3813, 0.0000], [0.6187, 0.6187, 0.0000], [0.7500, 0.2500, 0.5000]], "total_magnetization_mub_per_fu": 0.00, "total_energy_ha_per_atom": -0.2373, "e_form_raw_mev_per_atom": -777}

{"formula": "MnAg", "functional": "PBE-GGA", "state": "relaxed", "lattice_angstrom": [[0.0000, 5.4379, 8.6495], [1.4349, 0.0000, 8.6495], [1.4349, 5.4379, 0.0000]], "species": ["Mn", "Mn", "Mn", "Mn", "Ag", "Ag", "Ag", "Ag"], "fractional_positions": [[0.0106, 0.0106, 0.2394], [0.2394, 0.2394, 0.0106], [0.7606, 0.7606, 0.9894], [0.9894, 0.9894, 0.7606], [0.2423, 0.5077, 0.2423], [0.4923, 0.7577, 0.4923], [0.5077, 0.2423, 0.5077], [0.7577, 0.4923, 0.7577]], "total_magnetization_mub_per_fu": 4.01, "total_energy_ha_per_atom": -0.2060, "formation_enthalpy_0k_ev_per_fu": 0.8}

{"formula": "NbFeBr2", "functional": "PBE-GGA", "state": "relaxed", "lattice_angstrom": [[1.6191, 0.9348, 9.2144], [-1.6191, 0.9348, 9.2144], [0.0000, -1.8695, 9.2144]], "species": ["Nb", "Fe", "Br", "Br"], "fractional_positions": [[0.0000, 0.0000, 0.0000], [0.5000, 0.5000, 0.5000], [0.4034, 0.4034, 0.4034], [0.5966, 0.5966, 0.5966]], "e_above_lowest_polymorph_ev_per_atom": 0.000, "total_magnetization_mub_per_fu": 3.27, "total_energy_ha_per_atom": -0.1903, "e_form_raw_mev_per_atom": 291}

{"formula": "La2InTe", "functional": "PBE-GGA", "state": "relaxed", "lattice_angstrom": [[2.1414, 1.2363, 8.7878], [-2.1414, 1.2363, 8.7878], [0.0000, -2.4727, 8.7878]], "species": ["La", "La", "In", "Te"], "fractional_positions": [[0.0000, 0.0000, 0.0000], [0.1774, 0.1774, 0.1774], [0.7560, 0.7560, 0.7560], [0.5880, 0.5880, 0.5880]], "e_above_lowest_polymorph_ev_per_atom": 0.174, "total_magnetization_mub_per_fu": 0.00, "total_energy_ha_per_atom": -0.1766, "e_form_raw_mev_per_atom": -873}

no.,N(E_F) (states/eV per cell)
1,3.34
2,11.46
3,4.10
4,3.16
5,2.37
6,5.44
7,5.39
8,4.53